Entry 1:
Here is BaCa2Ir at its PBEsol-relaxed geometry from Alexandria via LeMat-Bulk. Energies are from SCAN.

Output
density of states at the Fermi level: 0.7606 states/eV per atom
DFT formation energy: -0.031 eV per atom
space group: P4mm, No. 99
E above lowest polymorph: 0.0 meV per atom
total energy: -32.5254 eV per atom

Cell: 3.5949 3.5949 10.1342 Å, 90.00 90.00 90.00°
Last column: nearest neighbours and their distance in Å.
Fractional positions:
Ba 0.0000 0.0000 0.0000  4 Ir 3.18, 1 Ca 3.42
Ca 0.0000 0.0000 0.6628  4 Ir 2.96
Ca 0.5000 0.5000 0.3591  8 Ca 3.59-3.99
Ir 0.5000 0.5000 0.8116  4 Ca 2.96, 4 Ba 3.18


Entry 2:
Here is La2TcSe at its PBEsol-relaxed geometry from Alexandria via LeMat-Bulk. Energies are from SCAN.

Output
density of states at the Fermi level: 0.4423 states/eV per atom
space group: Cmmm, No. 65
E_form (uncorrected): -2.58 eV per formula unit
total energy: -35.9820 eV per atom

Cell: 6.5389 7.7186 3.5950 Å, 90.00 90.00 90.00°
Last column: nearest neighbours and their distance in Å.
Fractional positions:
La 0.2500 0.2500 0.0000  4 Se 3.10, 4 Tc 3.10, 2 La 3.27
La 0.2500 0.7500 0.0000  4 Se 3.10, 4 Tc 3.10, 2 La 3.27
La 0.7500 0.2500 0.0000  4 Se 3.10, 4 Tc 3.10, 2 La 3.27
La 0.7500 0.7500 0.0000  4 Se 3.10, 4 Tc 3.10, 2 La 3.27
Tc 0.0000 0.0000 0.5000  8 La 3.10, 2 Se 3.27
Tc 0.5000 0.5000 0.5000  8 La 3.10, 2 Se 3.27
Se 0.0000 0.5000 0.5000  8 La 3.10, 2 Tc 3.27
Se 0.5000 0.0000 0.5000  8 La 3.10, 2 Tc 3.27


Entry 3:
Here is In2CuF at its PBEsol-relaxed geometry from Alexandria via LeMat-Bulk. Energies are from SCAN.

Output
density of states at the Fermi level: 0.3030 states/eV per atom
space group: Fm-3m, No. 225
E_form (uncorrected): -2.14 eV per formula unit
total energy: -21.9139 eV per atom

Cell: 6.4647 6.4647 6.4647 Å, 90.00 90.00 90.00°
Last column: nearest neighbours and their distance in Å.
Fractional positions:
In 0.2500 0.2500 0.2500  4 F 2.80, 4 Cu 2.80
In 0.2500 0.2500 0.7500  4 F 2.80, 4 Cu 2.80
In 0.2500 0.7500 0.2500  4 F 2.80, 4 Cu 2.80
In 0.2500 0.7500 0.7500  4 Cu 2.80, 4 F 2.80
In 0.7500 0.2500 0.2500  4 F 2.80, 4 Cu 2.80
In 0.7500 0.2500 0.7500  4 Cu 2.80, 4 F 2.80
In 0.7500 0.7500 0.2500  4 Cu 2.80, 4 F 2.80
In 0.7500 0.7500 0.7500  4 F 2.80, 4 Cu 2.80
Cu 0.0000 0.0000 0.0000  8 In 2.80
Cu 0.0000 0.5000 0.5000  8 In 2.80
Cu 0.5000 0.0000 0.5000  8 In 2.80
Cu 0.5000 0.5000 0.0000  8 In 2.80
F 0.0000 0.0000 0.5000  8 In 2.80
F 0.0000 0.5000 0.0000  8 In 2.80
F 0.5000 0.0000 0.0000  8 In 2.80
F 0.5000 0.5000 0.5000  8 In 2.80


Entry 4:
Here is GaPt2I at its PBEsol-relaxed geometry from Alexandria via LeMat-Bulk. Energies are from SCAN.

Output
density of states at the Fermi level: 0.1959 states/eV per atom
space group: Fm-3m, No. 225
E_form (uncorrected): 1.66 eV per formula unit
total energy: -47.9529 eV per atom

Cell: 6.5863 6.5863 6.5863 Å, 90.00 90.00 90.00°
Last column: nearest neighbours and their distance in Å.
Fractional positions:
Ga 0.0000 0.0000 0.0000  8 Pt 2.85
Ga 0.0000 0.5000 0.5000  8 Pt 2.85
Ga 0.5000 0.0000 0.5000  8 Pt 2.85
Ga 0.5000 0.5000 0.0000  8 Pt 2.85
Pt 0.2500 0.2500 0.2500  4 I 2.85, 4 Ga 2.85
Pt 0.2500 0.2500 0.7500  4 I 2.85, 4 Ga 2.85
Pt 0.2500 0.7500 0.2500  4 I 2.85, 4 Ga 2.85
Pt 0.2500 0.7500 0.7500  4 I 2.85, 4 Ga 2.85
Pt 0.7500 0.2500 0.2500  4 I 2.85, 4 Ga 2.85
Pt 0.7500 0.2500 0.7500  4 I 2.85, 4 Ga 2.85
Pt 0.7500 0.7500 0.2500  4 I 2.85, 4 Ga 2.85
Pt 0.7500 0.7500 0.7500  4 Ga 2.85, 4 I 2.85
I 0.0000 0.0000 0.5000  8 Pt 2.85
I 0.0000 0.5000 0.0000  8 Pt 2.85
I 0.5000 0.0000 0.0000  8 Pt 2.85
I 0.5000 0.5000 0.5000  8 Pt 2.85


Entry 5:
Here is Be2WSe at its PBEsol-relaxed geometry from Alexandria via LeMat-Bulk. Energies are from SCAN.

Output
density of states at the Fermi level: 0.3448 states/eV per atom
space group: Pm, No. 6
E_form (uncorrected): 1.68 eV per formula unit
total energy: -24.1981 eV per atom

Cell: 2.6761 4.1902 4.7155 Å, 90.00 98.59 90.00°
Last column: nearest neighbours and their distance in Å.
Fractional positions:
Be 0.0000 0.0000 0.0000  4 Be 2.40-2.68, 2 Se 2.42, 3 W 2.44-2.66
Be 0.0538 0.5000 0.2489  2 Se 2.36-2.47, 2 Be 2.40, 2 W 2.61
W 0.6355 0.0000 0.4439  7 Be 2.44-2.69, 2 Se 2.55, 2 W 2.68
Se 0.8581 0.5000 0.7437  4 Be 2.36-2.47, 2 W 2.55


Entry 6:
Here is CsRbMn3 at its PBEsol-relaxed geometry from Alexandria via LeMat-Bulk. Energies are from SCAN.

Output
density of states at the Fermi level: 1.9219 states/eV per atom
DFT formation energy: 1.523 eV per atom
space group: Pm-3m, No. 221
total energy: -21.1402 eV per atom

Cell: 6.1992 6.1992 6.1992 Å, 90.00 90.00 90.00°
Last column: nearest neighbours and their distance in Å.
Fractional positions:
Cs 0.0000 0.0000 0.0000  6 Mn 3.10
Rb 0.5000 0.5000 0.5000  12 Mn 4.38
Mn 0.0000 0.0000 0.5000  2 Cs 3.10
Mn 0.0000 0.5000 0.0000  2 Cs 3.10
Mn 0.5000 0.0000 0.0000  2 Cs 3.10


Entry 7:
Here is Zn5Tc at its PBEsol-relaxed geometry from Alexandria via LeMat-Bulk. Energies are from SCAN.

Output
density of states at the Fermi level: 0.3180 states/eV per atom
DFT formation energy: -0.011 eV per atom
space group: Cm, No. 8
E above lowest polymorph: 16.2 meV per atom
total energy: -17.1166 eV per atom

Cell: 9.9612 2.6308 6.5061 Å, 90.00 105.17 90.00°
Last column: nearest neighbours and their distance in Å.
Fractional positions:
Zn 0.0000 0.0000 0.0000  10 Zn 2.63-2.74, 2 Tc 2.74
Zn 0.0590 0.0000 0.6133  9 Zn 2.63-2.73, 3 Tc 2.67-2.69
Zn 0.1672 0.5000 0.3274  10 Zn 2.63-2.74, 2 Tc 2.69
Zn 0.2290 0.5000 0.9416  10 Zn 2.63-2.74, 2 Tc 2.68
Zn 0.3880 0.0000 0.2805  11 Zn 2.63-2.72, 1 Tc 2.65
Zn 0.5000 0.5000 0.0000  10 Zn 2.63-2.74, 2 Tc 2.74
Zn 0.5590 0.5000 0.6133  9 Zn 2.63-2.73, 3 Tc 2.67-2.69
Zn 0.6672 0.0000 0.3274  10 Zn 2.63-2.74, 2 Tc 2.69
Zn 0.7290 0.0000 0.9416  10 Zn 2.63-2.74, 2 Tc 2.68
Zn 0.8880 0.5000 0.2805  11 Zn 2.63-2.72, 1 Tc 2.65
Tc 0.3329 0.0000 0.6579  2 Tc 2.63, 10 Zn 2.65-2.74
Tc 0.8329 0.5000 0.6579  2 Tc 2.63, 10 Zn 2.65-2.74


Entry 8:
Here is Cd7Hg6 at its PBEsol-relaxed geometry from Alexandria via LeMat-Bulk. Energies are from SCAN.

Output
density of states at the Fermi level: 0.2786 states/eV per atom
DFT formation energy: 0.039 eV per atom
space group: R-3m, No. 166
total energy: -47.7994 eV per atom

Cell: 10.1464 10.1464 10.1464 Å, 34.03 34.03 34.03°
Last column: nearest neighbours and their distance in Å.
Fractional positions:
Cd 0.0000 0.0000 0.0000  6 Cd 2.90
Cd 0.0874 0.0874 0.5817  5 Cd 2.90-3.00, 5 Hg 2.99-3.14
Cd 0.0874 0.5817 0.0874  5 Cd 2.90-3.00, 5 Hg 2.99-3.14
Cd 0.4183 0.9126 0.9126  5 Cd 2.90-3.00, 5 Hg 2.99-3.14
Cd 0.5817 0.0874 0.0874  5 Cd 2.90-3.00, 5 Hg 2.99-3.14
Cd 0.9126 0.4183 0.9126  5 Cd 2.90-3.00, 5 Hg 2.99-3.14
Cd 0.9126 0.9126 0.4183  5 Cd 2.90-3.00, 5 Hg 2.99-3.14
Hg 0.1662 0.1662 0.1662  6 Cd 2.99
Hg 0.3443 0.3443 0.3443  1 Hg 3.02, 3 Cd 3.14
Hg 0.4498 0.4498 0.4498  2 Hg 2.88-3.02, 6 Cd 3.14
Hg 0.5502 0.5502 0.5502  2 Hg 2.88-3.02, 6 Cd 3.14
Hg 0.6557 0.6557 0.6557  1 Hg 3.02, 3 Cd 3.14
Hg 0.8338 0.8338 0.8338  6 Cd 2.99


Entry 9:
Here is NbFeC2 at its PBEsol-relaxed geometry from Alexandria via LeMat-Bulk. Energies are from SCAN.

Output
density of states at the Fermi level: 0.4233 states/eV per atom
DFT formation energy: 0.428 eV per atom
space group: I-42d, No. 122
total energy: -17.4363 eV per atom

Cell: 4.4290 4.4290 9.3258 Å, 90.00 90.00 90.00°
Last column: nearest neighbours and their distance in Å.
Fractional positions:
Nb 0.0000 0.0000 0.0000  4 C 2.10
Nb 0.0000 0.5000 0.2500  4 C 2.10
Nb 0.5000 0.0000 0.7500  4 C 2.10
Nb 0.5000 0.5000 0.5000  4 C 2.10
Fe 0.0000 0.0000 0.5000  4 C 1.83
Fe 0.0000 0.5000 0.7500  4 C 1.83
Fe 0.5000 0.0000 0.2500  4 C 1.83
Fe 0.5000 0.5000 0.0000  4 C 1.83
C 0.1960 0.2500 0.6250  2 Fe 1.83
C 0.2500 0.6960 0.8750  2 Fe 1.83
C 0.2500 0.8040 0.3750  2 Fe 1.83
C 0.3040 0.2500 0.1250  2 Fe 1.83
C 0.6960 0.7500 0.1250  2 Fe 1.83
C 0.7500 0.1960 0.3750  2 Fe 1.83
C 0.7500 0.3040 0.8750  2 Fe 1.83
C 0.8040 0.7500 0.6250  2 Fe 1.83


Entry 10:
Here is CdPt5 at its PBEsol-relaxed geometry from Alexandria via LeMat-Bulk. Energies are from SCAN.

Output
density of states at the Fermi level: 0.7977 states/eV per atom
DFT formation energy: -0.082 eV per atom
space group: Amm2, No. 38
total energy: -63.6452 eV per atom

Cell: 4.7680 2.7410 14.3464 Å, 90.00 90.00 90.00°
Last column: nearest neighbours and their distance in Å.
Fractional positions:
Cd 0.0000 0.0000 0.0000  2 Cd 2.74, 8 Pt 2.75-2.77
Cd 0.0000 0.5000 0.5000  2 Cd 2.74, 8 Pt 2.75-2.77
Pt 0.0000 0.0000 0.3324  8 Pt 2.73-2.75, 2 Cd 2.77
Pt 0.0000 0.0000 0.6675  8 Pt 2.73-2.75, 2 Cd 2.77
Pt 0.0000 0.5000 0.1675  8 Pt 2.73-2.75, 2 Cd 2.77
Pt 0.0000 0.5000 0.8324  8 Pt 2.73-2.75, 2 Cd 2.77
Pt 0.5000 0.0000 0.1655  10 Pt 2.74-2.77
Pt 0.5000 0.0000 0.4995  6 Pt 2.74-2.75, 4 Cd 2.75
Pt 0.5000 0.0000 0.8336  10 Pt 2.74-2.77
Pt 0.5000 0.5000 0.9995  6 Pt 2.74-2.75, 4 Cd 2.75
Pt 0.5000 0.5000 0.3336  10 Pt 2.74-2.77
Pt 0.5000 0.5000 0.6655  10 Pt 2.74-2.77


Entry 11:
Here is YCoAu2 at its PBEsol-relaxed geometry from Alexandria via LeMat-Bulk. Energies are from SCAN.

Output
density of states at the Fermi level: 0.4918 states/eV per atom
DFT formation energy: -0.393 eV per atom
space group: I4/mmm, No. 139
total energy: -46.2578 eV per atom

Cell: 3.9552 3.9552 8.7035 Å, 90.00 90.00 90.00°
Last column: nearest neighbours and their distance in Å.
Fractional positions:
Y 0.0000 0.0000 0.0000  4 Co 2.80, 8 Au 2.94
Y 0.5000 0.5000 0.5000  4 Co 2.80, 8 Au 2.94
Co 0.0000 0.0000 0.5000  4 Y 2.80, 8 Au 2.94
Co 0.5000 0.5000 0.0000  4 Y 2.80, 8 Au 2.94
Au 0.0000 0.5000 0.2500  4 Au 2.80, 4 Co 2.94, 4 Y 2.94
Au 0.0000 0.5000 0.7500  4 Au 2.80, 4 Co 2.94, 4 Y 2.94
Au 0.5000 0.0000 0.2500  4 Au 2.80, 4 Co 2.94, 4 Y 2.94
Au 0.5000 0.0000 0.7500  4 Au 2.80, 4 Co 2.94, 4 Y 2.94


Entry 12:
Here is Mg2ScCr at its PBEsol-relaxed geometry from Alexandria via LeMat-Bulk. Energies are from SCAN.

Output
density of states at the Fermi level: 0.6422 states/eV per atom
DFT formation energy: 0.092 eV per atom
space group: P4/mmm, No. 123
E above lowest polymorph: 29.0 meV per atom
total energy: -10.5504 eV per atom

Cell: 3.4158 3.4158 6.8844 Å, 90.00 90.00 90.00°
Last column: nearest neighbours and their distance in Å.
Fractional positions:
Mg 0.0000 0.0000 0.2215  4 Cr 2.86, 1 Mg 3.05, 4 Sc 3.08
Mg 0.0000 0.0000 0.7785  4 Cr 2.86, 1 Mg 3.05, 4 Sc 3.08
Sc 0.5000 0.5000 0.5000  8 Mg 3.08, 4 Sc 3.42, 2 Cr 3.44
Cr 0.5000 0.5000 0.0000  8 Mg 2.86


The lowest density of states at the Fermi level belongs to which entry? GaPt2I